The following is a DFT calculation (PBE) of crystalline Pb7I2F12 at its relaxed geometry.

Calculated values
The raw formation energy is -2111 meV/atom.

Unit cell a=10.6728 b=10.6728 c=4.1338 alpha=90.00 beta=90.00 gamma=120.00
Space group P-3 (No. 147)
Symmetry-distinct sites (fractional):
1 Pb 0.0000 0.0000 0.0000 x1
2 Pb 0.0905 0.3955 0.7428 x6
3 I 0.3333 0.6667 0.2466 x2
4 F 0.0434 0.6124 0.7507 x6
5 F 0.1061 0.8587 0.2466 x6